[1]
# Ba2AlAu PBE optimized geometry
data_Ba2AlAu
_chemical_formula_sum 'Ba4 Al2 Au2'
_symmetry_space_group_name_H-M 'C m m 2'
_symmetry_Int_Tables_number 35
_cell_length_a 5.3499
_cell_length_b 5.3601
_cell_length_c 9.7162
_cell_angle_alpha 90.00
_cell_angle_beta 90.00
_cell_angle_gamma 90.00
loop_
_symmetry_equiv_pos_as_xyz
'x,y,z'
'-x,-y,z'
'-x,y,z'
'x,-y,z'
'x+1/2,y+1/2,z'
'-x+1/2,-y+1/2,z'
'-x+1/2,y+1/2,z'
'x+1/2,-y+1/2,z'
loop_
_atom_site_label
_atom_site_fract_x
_atom_site_fract_y
_atom_site_fract_z
_atom_site_occupancy
Ba1 0.0000 0.0000 0.0000 1
Ba2 0.0000 0.5000 0.4130 1
Al1 0.0000 0.0000 0.6577 1
Au1 0.0000 0.5000 0.7615 1
# * energy relative to the elements: -20.9 kJ per mole of atoms
# * N(E_F): 3.18 states/eV/f.u.

=====

[2]
# BaHfSiSn2 PBE optimized geometry
data_BaHfSiSn2
_chemical_formula_sum 'Ba1 Hf1 Si1 Sn2'
_symmetry_space_group_name_H-M 'P 4/m m m'
_symmetry_Int_Tables_number 123
_symmetry_space_group_name_Hall '-P 4 2'
_cell_length_a 5.5346
_cell_length_b 5.5346
_cell_length_c 5.1942
_cell_angle_alpha 90.00
_cell_angle_beta 90.00
_cell_angle_gamma 90.00
loop_
_atom_site_label
_atom_site_fract_x
_atom_site_fract_y
_atom_site_fract_z
_atom_site_occupancy
Ba1 0.0000 0.0000 0.0000 1
Hf1 0.5000 0.5000 0.5000 1
Si1 0.5000 0.5000 0.0000 1
Sn1 0.0000 0.5000 0.5000 1
# * energy relative to the elements, uncorrected: -0.18 eV per atom
# * N(E_F): 1.54 states/eV/f.u.

=====

The highest N(E_F) belongs to which entry? Ba2AlAu